(1)
ZrSc2HgH: relaxed, PBE.

abc: 4.528 4.528 4.321
angles: 90.00 90.00 90.00
Fractional positions:
Sc (0.000, 0.500, 0.000)
Sc (0.500, 0.000, 0.000)
H (0.000, 0.000, 0.000)
Hg (0.500, 0.500, 0.500)
Zr (0.000, 0.000, 0.500)

The calculation puts the magnetization at 0.00 μB/atom. As for the electronic total energy: -5.28 eV per atom.

---

(2)
YZnOs2: relaxed, PBE.

abc: 2.928 2.928 8.021
angles: 90.00 90.00 90.00
Fractional positions:
Os (0.000, 0.000, 0.011)
Os (0.500, 0.500, 0.211)
Y (0.000, 0.000, 0.494)
Zn (0.500, 0.500, 0.784)

The value obtained for the calculated formation energy is 0.08 eV/atom. The calculation puts the magnetization at 0.00 μB/atom.

---

(3)
Ca2BeIn: relaxed, PBE.

abc: 5.618 5.618 5.618
angles: 130.39 130.39 72.79
Fractional positions:
Be (0.750, 0.250, 0.500)
Ca (0.000, 0.000, 0.000)
Ca (0.250, 0.750, 0.500)
In (0.500, 0.500, 0.000)

The value obtained for the calculated formation energy is 0.18 eV/atom. The calculation puts the magnetization at 0.00 μB/atom. Its energy above the most stable polymorph in this dataset is 226 meV per atom.

---

- What is the magnetization in the second record?
  0.00 μB/atom

---

- What is the magnetization in the second record?
  0.00 μB/atom

---

- magnetization of number 1 (ZrSc2HgH)?
  0.00 μB/atom